Here is Pm3Dy7Ho2 after structural relaxation from Alexandria via LeMat-Bulk. Energies are from PBE-GGA.

DOS at the Fermi energy: 1.54 states/eV/atom
energy of formation: 0.30 eV/atom
polymorph energy (0 for the lowest one): 0.214 eV/atom
volume: 416 Å³/cell

Unit cell a=6.114 b=5.617 c=12.154 alpha=90.00 beta=94.19 gamma=90.00
Space group P2/m (No. 10)
One atom of each set of equivalent atoms:
Pm 0.000 0.000 0.000 [1 per cell]
Pm 0.462 0.500 0.327 [2 per cell]
Dy 0.052 0.500 0.822 [2 per cell]
Dy 0.268 0.000 0.557 [2 per cell]
Dy 0.407 0.000 0.837 [2 per cell]
Dy 0.500 0.500 0.000 [1 per cell]
Ho 0.135 0.000 0.286 [2 per cell]